Record 1
# Np3Zn4, relaxed, DFT PBE-GGA
# Final energy in eV for the cell shown: -85.1
# Relative energy among the computed polymorphs in meV per atom: 20
# Formation enthalpy at 0 K in eV/f.u.: 0.8
data_Np3Zn4
_space_group_name_H-M_alt 'P 1 m 1'
_space_group_IT_number 6
_cell_length_a 8.534
_cell_length_b 4.104
_cell_length_c 8.537
_cell_angle_alpha 90.00
_cell_angle_beta 119.98
_cell_angle_gamma 90.00
loop_
_space_group_symop_operation_xyz
'x,y,z'
'x,-y,z'
loop_
_atom_site_label
_atom_site_type_symbol
_atom_site_fract_x
_atom_site_fract_y
_atom_site_fract_z
Np1 Np 0.000 0.000 0.000
Np2 Np 0.059 0.500 0.595
Np3 Np 0.404 0.500 0.462
Np4 Np 0.524 0.000 0.655
Np5 Np 0.867 0.000 0.523
Np6 Np 0.927 0.500 0.120
Zn1 Zn 0.131 0.000 0.393
Zn2 Zn 0.268 0.500 0.050
Zn3 Zn 0.278 0.000 0.864
Zn4 Zn 0.454 0.000 0.244
Zn5 Zn 0.473 0.500 0.873
Zn6 Zn 0.648 0.500 0.254
Zn7 Zn 0.658 0.000 0.068
Zn8 Zn 0.797 0.500 0.726

***

Record 2
# NpZn12, relaxed, DFT PBE-GGA
# Final energy in eV for the cell shown: -55.0
# Formation enthalpy at 0 K in eV/f.u.: 0.4
data_NpZn12
_space_group_name_H-M_alt 'I 4/m m m'
_space_group_IT_number 139
_space_group_name_Hall '-I 4 2'
_cell_length_a 8.852
_cell_length_b 8.852
_cell_length_c 5.167
_cell_angle_alpha 90.00
_cell_angle_beta 90.00
_cell_angle_gamma 90.00
loop_
_atom_site_label
_atom_site_type_symbol
_atom_site_fract_x
_atom_site_fract_y
_atom_site_fract_z
Np1 Np 0.000 0.000 0.000
Zn1 Zn 0.000 0.214 0.500
Zn2 Zn 0.000 0.352 0.000
Zn3 Zn 0.250 0.250 0.250

***

Record 3
# Np3Zn4, relaxed, DFT PBE-GGA
# Final energy in eV for the cell shown: -85.4
# Relative energy among the computed polymorphs in meV per atom: 0
# Formation enthalpy at 0 K in eV/f.u.: 0.7
data_Np3Zn4
_space_group_name_H-M_alt 'P 1 m 1'
_space_group_IT_number 6
_cell_length_a 8.414
_cell_length_b 3.741
_cell_length_c 8.427
_cell_angle_alpha 90.00
_cell_angle_beta 116.79
_cell_angle_gamma 90.00
loop_
_space_group_symop_operation_xyz
'x,y,z'
'x,-y,z'
loop_
_atom_site_label
_atom_site_type_symbol
_atom_site_fract_x
_atom_site_fract_y
_atom_site_fract_z
Np1 Np 0.000 0.000 0.000
Np2 Np 0.034 0.000 0.383
Np3 Np 0.150 0.500 0.269
Np4 Np 0.610 0.000 0.956
Np5 Np 0.725 0.500 0.844
Np6 Np 0.769 0.500 0.237
Zn1 Zn 0.208 0.000 0.787
Zn2 Zn 0.323 0.500 0.671
Zn3 Zn 0.326 0.500 0.010
Zn4 Zn 0.436 0.000 0.556
Zn5 Zn 0.439 0.000 0.220
Zn6 Zn 0.553 0.500 0.442
Zn7 Zn 0.776 0.000 0.560
Zn8 Zn 0.986 0.500 0.672

***

Record 4
# ZrNp, relaxed, DFT PBE-GGA
# Final energy in eV for the cell shown: -68.1
# Relative energy among the computed polymorphs in meV per atom: 2041
# Formation enthalpy at 0 K in eV/f.u.: 4.3
data_ZrNp
_space_group_name_H-M_alt 'F -4 3 m'
_space_group_IT_number 216
_space_group_name_Hall 'F -4 2 3'
_cell_length_a 5.881
_cell_length_b 5.881
_cell_length_c 5.881
_cell_angle_alpha 90.00
_cell_angle_beta 90.00
_cell_angle_gamma 90.00
loop_
_atom_site_label
_atom_site_type_symbol
_atom_site_fract_x
_atom_site_fract_y
_atom_site_fract_z
Zr1 Zr 0.000 0.000 0.000
Np1 Np 0.250 0.250 0.250

***

Record 5
# Zr4Np3, relaxed, DFT PBE-GGA
# Final energy in eV for the cell shown: -142.5
# Relative energy among the computed polymorphs in meV per atom: 0
# Formation enthalpy at 0 K in eV/f.u.: 1.2
data_Zr4Np3
_space_group_name_H-M_alt 'P 1 21/m 1'
_space_group_IT_number 11
_cell_length_a 7.883
_cell_length_b 4.982
_cell_length_c 8.428
_cell_angle_alpha 90.00
_cell_angle_beta 111.63
_cell_angle_gamma 90.00
loop_
_space_group_symop_operation_xyz
'x,y,z'
'-x,-y,-z'
'-x,y+1/2,-z'
'x,-y+1/2,z'
loop_
_atom_site_label
_atom_site_type_symbol
_atom_site_fract_x
_atom_site_fract_y
_atom_site_fract_z
Zr1 Zr 0.011 0.250 0.268
Zr2 Zr 0.127 0.250 0.958
Zr3 Zr 0.286 0.250 0.669
Zr4 Zr 0.296 0.750 0.182
Np1 Np 0.156 0.750 0.460
Np2 Np 0.477 0.750 0.901
Np3 Np 0.482 0.750 0.580

***

Record 6
# Zr4Np3, relaxed, DFT PBE-GGA
# Final energy in eV for the cell shown: -142.3
# Relative energy among the computed polymorphs in meV per atom: 14
# Formation enthalpy at 0 K in eV/f.u.: 1.3
data_Zr4Np3
_space_group_name_H-M_alt 'P 1 21/m 1'
_space_group_IT_number 11
_cell_length_a 8.093
_cell_length_b 5.217
_cell_length_c 8.425
_cell_angle_alpha 90.00
_cell_angle_beta 118.42
_cell_angle_gamma 90.00
loop_
_space_group_symop_operation_xyz
'x,y,z'
'-x,-y,-z'
'-x,y+1/2,-z'
'x,-y+1/2,z'
loop_
_atom_site_label
_atom_site_type_symbol
_atom_site_fract_x
_atom_site_fract_y
_atom_site_fract_z
Zr1 Zr 0.027 0.250 0.392
Zr2 Zr 0.122 0.750 0.040
Zr3 Zr 0.153 0.250 0.814
Zr4 Zr 0.411 0.750 0.906
Np1 Np 0.326 0.250 0.250
Np2 Np 0.353 0.750 0.495
Np3 Np 0.455 0.250 0.664

***

Record 7
# ZrNp, relaxed, DFT PBE-GGA
# Final energy in eV for the cell shown: -83.0
# Relative energy among the computed polymorphs in meV per atom: 183
# Formation enthalpy at 0 K in eV/f.u.: 0.6
data_ZrNp
_space_group_name_H-M_alt 'P m m 2'
_space_group_IT_number 25
_cell_length_a 5.235
_cell_length_b 6.408
_cell_length_c 5.287
_cell_angle_alpha 90.00
_cell_angle_beta 90.00
_cell_angle_gamma 90.00
loop_
_space_group_symop_operation_xyz
'x,y,z'
'-x,-y,z'
'-x,y,z'
'x,-y,z'
loop_
_atom_site_label
_atom_site_type_symbol
_atom_site_fract_x
_atom_site_fract_y
_atom_site_fract_z
Zr1 Zr 0.000 0.000 0.000
Zr2 Zr 0.000 0.255 0.501
Zr3 Zr 0.500 0.000 0.550
Np1 Np 0.000 0.500 0.999
Np2 Np 0.500 0.274 0.053
Np3 Np 0.500 0.500 0.539

***

Record 8
# ZrNp, relaxed, DFT PBE-GGA
# Final energy in eV for the cell shown: -75.1
# Relative energy among the computed polymorphs in meV per atom: 1167
# Formation enthalpy at 0 K in eV/f.u.: 2.5
data_ZrNp
_space_group_name_H-M_alt 'F m -3 m'
_space_group_IT_number 225
_space_group_name_Hall '-F 4 2 3'
_cell_length_a 5.912
_cell_length_b 5.912
_cell_length_c 5.912
_cell_angle_alpha 90.00
_cell_angle_beta 90.00
_cell_angle_gamma 90.00
loop_
_atom_site_label
_atom_site_type_symbol
_atom_site_fract_x
_atom_site_fract_y
_atom_site_fract_z
Zr1 Zr 0.000 0.000 0.000
Np1 Np 0.000 0.000 0.500